[1]
The following is a PBE calculation of an optimized crystal structure of ScH3Pb, from Alexandria.

abc: 4.151 4.151 4.151
angles: 90.00 90.00 90.00
Element x y z (fractional)
1 Sc 0.000 0.000 0.000
2 H 0.000 0.500 0.500
3 H 0.500 0.000 0.500
4 H 0.500 0.500 0.000
5 Pb 0.500 0.500 0.500

Summary:
The value obtained for the magnetization is 0.0 μB/cell. For the density of states at the Fermi level, the calculation gives 2.79 states/eV/cell. The total energy is -3.37 eV per atom. Its symmetry is No. 221. For the volume, the calculation gives 72 Å³ per cell.

[2]
The following is a PBE calculation of an optimized crystal structure of K2MgSc, from Alexandria.

abc: 3.563 3.563 40.779
angles: 90.00 90.00 120.00
Element x y z (fractional)
1 K 0.000 0.000 0.249
2 K 0.000 0.000 0.751
3 K 0.333 0.667 0.417
4 K 0.333 0.667 0.916
5 K 0.667 0.333 0.084
6 K 0.667 0.333 0.583
7 Mg 0.000 0.000 0.500
8 Mg 0.333 0.667 0.167
9 Mg 0.667 0.333 0.833
10 Sc 0.000 0.000 0.000
11 Sc 0.333 0.667 0.667
12 Sc 0.667 0.333 0.333

Summary:
The value obtained for the magnetization is 3.7 μB/cell. For the density of states at the Fermi level, the calculation gives 10.81 states/eV/cell. The total energy is -2.05 eV per atom. Its symmetry is No. 166. For the volume, the calculation gives 448 Å³ per cell. As for the formation enthalpy at 0 K: 0.484 eV per atom.

[3]
The following is a PBE calculation of an optimized crystal structure of AcPr2Er2, from Alexandria.

abc: 3.704 3.704 25.890
angles: 90.00 90.00 90.00
Element x y z (fractional)
1 Ac 0.000 0.000 0.000
2 Ac 0.500 0.500 0.500
3 Pr 0.000 0.000 0.391
4 Pr 0.000 0.000 0.609
5 Pr 0.500 0.500 0.109
6 Pr 0.500 0.500 0.891
7 Er 0.000 0.000 0.204
8 Er 0.000 0.000 0.796
9 Er 0.500 0.500 0.296
10 Er 0.500 0.500 0.704

Summary:
The value obtained for the magnetization is 0.0 μB/cell. For the density of states at the Fermi level, the calculation gives 16.34 states/eV/cell. The total energy is -4.51 eV per atom. Its symmetry is No. 139. For the volume, the calculation gives 355 Å³ per cell. As for the formation enthalpy at 0 K: 0.046 eV per atom.

[4]
The following is a PBE calculation of an optimized crystal structure of CoPt3Rh12, from Alexandria.

abc: 3.855 3.855 15.379
angles: 90.00 90.00 90.00
Element x y z (fractional)
1 Co 0.000 0.000 0.000
2 Pt 0.000 0.000 0.248
3 Pt 0.000 0.000 0.500
4 Pt 0.000 0.000 0.752
5 Rh 0.000 0.500 0.120
6 Rh 0.000 0.500 0.374
7 Rh 0.000 0.500 0.626
8 Rh 0.000 0.500 0.880
9 Rh 0.500 0.000 0.120
10 Rh 0.500 0.000 0.374
11 Rh 0.500 0.000 0.626
12 Rh 0.500 0.000 0.880
13 Rh 0.500 0.500 0.000
14 Rh 0.500 0.500 0.247
15 Rh 0.500 0.500 0.500
16 Rh 0.500 0.500 0.753

Summary:
The value obtained for the magnetization is 2.8 μB/cell. For the density of states at the Fermi level, the calculation gives 22.61 states/eV/cell. The total energy is -7.09 eV per atom. Its symmetry is No. 123. For the volume, the calculation gives 229 Å³ per cell. As for the formation enthalpy at 0 K: -0.004 eV per atom.

[5]
The following is a PBE calculation of an optimized crystal structure of SrZn2GePb, from Alexandria.

abc: 5.608 5.608 5.729
angles: 90.00 90.00 90.00
Element x y z (fractional)
1 Sr 0.000 0.000 0.000
2 Zn 0.000 0.500 0.000
3 Zn 0.500 0.000 0.000
4 Ge 0.000 0.000 0.500
5 Pb 0.500 0.500 0.500

Summary:
The value obtained for the magnetization is 0.0 μB/cell. For the density of states at the Fermi level, the calculation gives 3.05 states/eV/cell. The total energy is -1.70 eV per atom. Its symmetry is No. 123. For the volume, the calculation gives 180 Å³ per cell. As for the formation enthalpy at 0 K: 0.811 eV per atom.

[6]
The following is a PBE calculation of an optimized crystal structure of LiAcIr4, from Alexandria.

abc: 5.407 5.407 5.407
angles: 60.00 60.00 60.00
Element x y z (fractional)
1 Li 0.000 0.000 0.000
2 Ac 0.750 0.750 0.750
3 Ir 0.374 0.374 0.374
4 Ir 0.374 0.374 0.877
5 Ir 0.374 0.877 0.374
6 Ir 0.877 0.374 0.374

Summary:
The value obtained for the magnetization is 0.0 μB/cell. For the density of states at the Fermi level, the calculation gives 6.84 states/eV/cell. The total energy is -7.20 eV per atom. Its symmetry is No. 216. For the volume, the calculation gives 112 Å³ per cell. As for the formation enthalpy at 0 K: -0.286 eV per atom.